The following is a DFT calculation (PBE+U) of crystalline BaGd2CoO5 at its relaxed geometry.

Geometry as CIF:
```
data_BaGd2CoO5
_chemical_formula_sum 'Ba2 Gd4 Co2 O10'
_symmetry_space_group_name_H-M 'I m m m'
_symmetry_Int_Tables_number 71
_symmetry_space_group_name_Hall '-I 2 2'
_cell_length_a 3.759
_cell_length_b 5.831
_cell_length_c 11.564
_cell_angle_alpha 90.00
_cell_angle_beta 90.00
_cell_angle_gamma 90.00
loop_
_atom_site_label
_atom_site_fract_x
_atom_site_fract_y
_atom_site_fract_z
_atom_site_occupancy
Ba1 0.000 0.000 0.000 1
Gd1 0.000 0.500 0.203 1
Co1 0.000 0.000 0.500 1
O1 0.000 0.242 0.351 1
O2 0.000 0.500 0.000 1
```

- size of the total moment (μB per atom) = 0.111
- total energy (eV per cell) = -130.68